Below is crystalline NiBi2Pd at its relaxed geometry, with properties calculated at the PBE-GGA level.

Values from the calculation:
Energy of formation from the pure elements (eV per atom): 0.013
Fermi-level density of states (states/eV per cell): 3.7
Calculated volume (A^3/atom): 20.6

The structure in POSCAR format:
```
NiBi2Pd
1.0
-1.257 0.010 -3.192
2.969 -1.257 -1.174
-2.393 -6.514 0.921
Bi Ni Pd
2 1 1
direct
0.000 0.000 0.761 Bi
0.000 0.000 0.239 Bi
0.500 0.500 0.000 Ni
0.500 0.500 0.500 Pd
```

***

Below is crystalline Li2NdBr5 at its relaxed geometry, with properties calculated at the PBE-GGA level.

Values from the calculation:
Fermi-level density of states (states/eV per cell): 0.0
Calculated volume (A^3/atom): 30.3
Electronic total energy (eV/cell): -60.6

The structure in POSCAR format:
```
Li2NdBr5
1.0
6.729 0.000 2.901
2.411 9.714 3.662
0.650 0.141 7.745
Br Nd Li
10 2 4
direct
0.130 0.533 0.565 Br
0.693 0.338 0.593 Br
0.899 0.941 0.571 Br
0.589 0.441 0.071 Br
0.376 0.838 0.093 Br
0.313 0.126 0.558 Br
0.526 0.729 0.536 Br
0.209 0.229 0.036 Br
0.003 0.626 0.058 Br
0.772 0.033 0.065 Br
0.951 0.283 0.815 Nd
0.951 0.783 0.315 Nd
0.608 0.604 0.248 Li
0.539 0.104 0.748 Li
0.363 0.463 0.880 Li
0.294 0.963 0.380 Li
```

***

Below is crystalline SrRu3 at its relaxed geometry, with properties calculated at the PBE-GGA level.

Values from the calculation:
Energy of formation from the pure elements (eV per atom): 1.017
Fermi-level density of states (states/eV per cell): 6.9
Calculated volume (A^3/atom): 17.7

The structure in POSCAR format:
```
SrRu3
1.0
4.139 0.000 0.000
0.000 4.139 0.000
0.000 0.000 4.139
Ru Sr
3 1
direct
0.500 0.000 0.500 Ru
0.500 0.500 0.000 Ru
0.000 0.500 0.500 Ru
0.000 0.000 0.000 Sr
```

***

Which value of calculated volume does entry 1 give?
20.6 A^3/atom

***

What is the Fermi-level density of states in the third record?
6.9 states/eV per cell

***

Look up the Fermi-level density of states of the first one.
3.7 states/eV per cell